## AcZnPd (PBE)

Data for crystalline AcZnPd at its relaxed geometry.

Calculated values
VASP energy   -3.91 eV/atom
Excess energy over the best structure of this formula in the dataset   27.0 kJ per mole of atoms
Formation energy   -0.385 eV/atom

extended XYZ file:
```
3
Lattice="-2.5259 -2.5357 -1.9574 -0.4870 -2.1598 3.4264 -2.0362 4.9831 0.4232" Properties=species:S:1:pos:R:3 pbc="T T T"
Ac -2.3779 -1.6995 1.0193
Zn -4.7558 0.0694 1.7963
Pd -1.9016 1.4146 0.6214
```

***

## Ac2ZnPd (PBE)

Data for crystalline Ac2ZnPd at its relaxed geometry.

Calculated values
VASP energy   -4.08 eV/atom
Formation energy   -0.404 eV/atom

extended XYZ file:
```
4
Lattice="4.4253 0.0000 0.0000 2.2127 3.8325 0.0000 2.2127 1.2775 7.7966" Properties=species:S:1:pos:R:3 pbc="T T T"
Ac 2.2127 1.2775 6.0662
Ac 2.2127 1.2775 1.7113
Zn 4.4253 2.5550 3.8927
Pd 4.4253 2.5550 0.0247
```

***

## AcZnPd4 (PBE)

Data for crystalline AcZnPd4 at its relaxed geometry.

Calculated values
VASP energy   -4.96 eV/atom
Excess energy over the best structure of this formula in the dataset   0.0 kJ per mole of atoms
Formation energy   -0.605 eV/atom

extended XYZ file:
```
12
Lattice="4.1606 0.0000 0.0000 0.0000 7.1854 0.0000 0.0000 0.0000 7.6403" Properties=species:S:1:pos:R:3 pbc="T T T"
Ac 0.0000 4.7002 5.7302
Ac 0.0000 2.4852 1.9101
Zn 0.0000 1.5708 5.7302
Zn 0.0000 5.6146 1.9101
Pd 0.0000 0.0000 3.8202
Pd 0.0000 0.0000 0.0000
Pd 2.0803 6.9591 5.7302
Pd 2.0803 0.2263 1.9101
Pd 2.0803 4.9813 0.4246
Pd 2.0803 2.2041 7.2157
Pd 2.0803 4.9813 3.3955
Pd 2.0803 2.2041 4.2448
```

***

## Ac3Zn2Pd7 (PBE)

Data for crystalline Ac3Zn2Pd7 at its relaxed geometry.

Calculated values
VASP energy   -4.98 eV/atom
Excess energy over the best structure of this formula in the dataset   0.0 kJ per mole of atoms
Formation energy   -0.709 eV/atom

extended XYZ file:
```
12
Lattice="-2.1423 1.3668 3.4221 -1.0791 -4.1141 0.9676 12.0164 0.8777 7.1717" Properties=species:S:1:pos:R:3 pbc="T T T"
Ac -1.6107 -1.3736 2.1949
Ac 4.1277 -0.4238 2.7532
Ac 6.8096 -2.8125 5.3861
Zn 1.3628 -1.6801 4.1787
Zn 7.4322 -0.1895 7.3828
Pd 3.4563 -1.8932 5.5743
Pd 5.3388 0.0237 5.9872
Pd 1.2954 -2.2391 1.7052
Pd 0.0000 0.0000 0.0000
Pd 9.6419 -0.9972 6.4341
Pd 8.0241 -2.3676 8.6232
Pd 0.7710 0.4980 2.9383
```

***

## Ac4Zn5Pd6 (PBE)

Data for crystalline Ac4Zn5Pd6 at its relaxed geometry.

Calculated values
VASP energy   -4.20 eV/atom
Formation energy   -0.606 eV/atom

extended XYZ file:
```
30
Lattice="4.2888 0.0000 0.0000 -2.1444 10.2570 0.0000 0.0000 0.0000 15.8876" Properties=species:S:1:pos:R:3 pbc="T T T"
Ac 2.1444 9.5832 4.2437
Ac 0.0000 0.6738 12.1875
Ac 0.0000 3.3849 4.8329
Ac 2.1444 6.8721 12.7767
Ac 2.1444 6.4663 7.0580
Ac 0.0000 3.7907 15.0018
Ac 0.0000 0.2448 8.1228
Ac 2.1444 10.0122 0.1790
Zn 0.0000 9.0338 10.5971
Zn 2.1444 1.2232 2.6533
Zn 0.0000 3.1621 10.0024
Zn 2.1444 7.0949 2.0586
Zn 2.1444 2.9356 7.7224
Zn 0.0000 7.3214 15.6662
Zn 0.0000 6.1966 9.8439
Zn 2.1444 4.0604 1.9001
Zn 0.0000 6.9686 4.2369
Zn 2.1444 3.2884 12.1807
Pd 2.1444 5.5358 4.0832
Pd 0.0000 8.6739 6.3865
Pd 2.1444 5.8407 15.7617
Pd 0.0000 4.4163 7.8179
Pd 0.0000 9.0284 13.6252
Pd 2.1444 1.2286 5.6814
Pd 0.0000 8.7020 2.0899
Pd 2.1444 1.5550 10.0337
Pd 0.0000 2.4368 1.8994
Pd 2.1444 7.8202 9.8432
Pd 2.1444 1.5831 14.3303
Pd 0.0000 4.7212 12.0270
```

***

## AcZn11Pd (PBE)

Data for crystalline AcZn11Pd at its relaxed geometry.

Calculated values
VASP energy   -2.03 eV/atom
Formation energy   -0.237 eV/atom

extended XYZ file:
```
13
Lattice="4.7672 0.0251 1.9861 2.3586 6.5155 0.9826 -0.1428 0.0125 7.0572" Properties=species:S:1:pos:R:3 pbc="T T T"
Ac 0.0000 0.0000 0.0000
Zn 1.7876 1.5230 2.4017
Zn 5.1954 5.0302 7.6242
Zn 4.1618 5.0177 3.3908
Zn 2.8212 1.5355 6.6350
Zn 3.1610 4.1779 5.9107
Zn 3.8220 2.3753 4.1152
Zn 5.4704 2.3878 6.8728
Zn 1.5126 4.1653 3.1530
Zn 1.1793 3.2578 0.4913
Zn 2.3122 0.0188 4.5216
Zn -0.0714 0.0063 3.5286
Pd 3.5629 3.2703 1.4844
```

***

## Ac2ZnPd2 (PBE)

Data for crystalline Ac2ZnPd2 at its relaxed geometry.

Calculated values
VASP energy   -4.62 eV/atom
Excess energy over the best structure of this formula in the dataset   2.6 kJ per mole of atoms
Formation energy   -0.645 eV/atom

extended XYZ file:
```
10
Lattice="6.3692 0.0000 0.0000 0.0000 7.1582 0.0000 -3.1846 -3.5791 6.0363" Properties=species:S:1:pos:R:3 pbc="T T T"
Ac 3.1846 2.3006 4.3185
Ac 0.0000 1.2785 1.7178
Ac 3.1846 5.8797 1.7178
Ac 0.0000 -2.3006 4.3185
Zn 4.7769 3.5791 0.0000
Zn 1.5923 3.5791 0.0000
Pd 0.0000 1.6752 4.6984
Pd 3.1846 1.9038 1.3379
Pd 0.0000 5.2543 1.3379
Pd 3.1846 -1.6752 4.6984
```

***

## AcZn3Pd2 (PBE)

Data for crystalline AcZn3Pd2 at its relaxed geometry.

Calculated values
VASP energy   -3.58 eV/atom
Excess energy over the best structure of this formula in the dataset   5.4 kJ per mole of atoms
Formation energy   -0.529 eV/atom

extended XYZ file:
```
12
Lattice="-3.6894 0.3169 2.0340 -0.5831 -7.0396 -4.3486 3.8043 -0.5212 6.9818" Properties=species:S:1:pos:R:3 pbc="T T T"
Ac -0.0084 -5.2287 5.1872
Ac -0.4598 -2.0152 -0.5201
Zn 0.5270 -4.5781 1.6693
Zn -1.7453 -6.5568 2.2435
Zn 0.2320 -1.4824 5.0396
Zn -0.7003 -5.7615 -0.3725
Zn 1.2771 -0.6872 2.4237
Zn -0.9953 -2.6659 2.9978
Pd 0.7700 -7.0369 2.4931
Pd -1.2382 -0.2071 2.1740
Pd -2.1168 -4.1850 1.2001
Pd 1.6486 -3.0589 3.4670
```

***

## AcZn2Pd2 (PBE)

Data for crystalline AcZn2Pd2 at its relaxed geometry.

Calculated values
VASP energy   -4.04 eV/atom
Excess energy over the best structure of this formula in the dataset   1.3 kJ per mole of atoms
Formation energy   -0.631 eV/atom

extended XYZ file:
```
10
Lattice="-0.4151 -4.0729 -1.2358 3.5662 -0.9209 2.1731 -6.2380 -2.1888 9.3095" Properties=species:S:1:pos:R:3 pbc="T T T"
Ac 0.8050 -4.2944 3.0307
Ac -3.8919 -2.8882 7.2161
Zn 2.5723 -1.7078 1.3221
Zn -2.5402 -4.3804 4.2700
Zn -0.5467 -2.8022 5.9768
Zn 0.5788 -3.2860 -0.3847
Pd -1.5661 -5.1221 6.5654
Pd -0.0206 -1.5341 1.4426
Pd -3.0663 -5.6485 8.8042
Pd -1.5208 -2.0605 3.6814
```

***

## Ac7Zn2Pd2 (PBE)

Data for crystalline Ac7Zn2Pd2 at its relaxed geometry.

Calculated values
VASP energy   -4.00 eV/atom
Formation energy   -0.214 eV/atom

extended XYZ file:
```
11
Lattice="7.3178 -0.0040 -1.1348 0.0028 7.7312 0.0040 -1.5885 -0.0013 7.2329" Properties=species:S:1:pos:R:3 pbc="T T T"
Ac -0.7929 2.0526 3.6168
Ac 3.6602 5.6760 -0.5638
Ac 6.5250 5.6733 2.4854
Ac 2.0720 2.0500 6.6661
Ac 0.0000 0.0000 0.0000
Ac 2.8661 5.7219 3.0527
Ac 2.8660 2.0040 3.0496
Zn 4.8297 3.8612 5.1411
Zn 0.9025 3.8648 0.9611
Pd 4.6659 7.7279 1.3635
Pd 1.0663 -0.0020 4.7387
```

***

## Ac3Zn3Pd8 (PBE)

Data for crystalline Ac3Zn3Pd8 at its relaxed geometry.

Calculated values
VASP energy   -4.79 eV/atom
Excess energy over the best structure of this formula in the dataset   3.6 kJ per mole of atoms
Formation energy   -0.668 eV/atom

extended XYZ file:
```
14
Lattice="4.4058 0.0000 0.0000 2.2029 8.2994 0.1515 2.2029 2.4053 7.9447" Properties=species:S:1:pos:R:3 pbc="T T T"
Ac 4.4058 5.3524 4.0481
Ac 4.4058 2.1511 1.6269
Ac 4.4058 8.5536 6.4692
Zn 2.2029 0.0000 0.0000
Zn 2.2029 6.9338 1.9570
Zn 2.2029 3.7709 6.1391
Pd 4.4058 2.4593 5.4318
Pd 4.4058 8.2454 2.6643
Pd 4.4058 5.8962 0.8875
Pd 4.4058 4.8085 7.2086
Pd 6.6086 8.1275 4.3340
Pd 2.2029 2.5772 3.7622
Pd 6.6086 6.3830 6.6405
Pd 2.2029 4.3217 1.4556
```

***

## Ac12Zn5Pd3 (PBE)

Data for crystalline Ac12Zn5Pd3 at its relaxed geometry.

Calculated values
VASP energy   -3.51 eV/atom
Formation energy   0.052 eV/atom

extended XYZ file:
```
80
Lattice="-11.4642 7.5115 7.9745 -6.2507 -12.1411 -8.0602 10.8386 -5.4542 10.2089" Properties=species:S:1:pos:R:3 pbc="T T T"
Pd -9.5874 0.3990 4.2344
Pd -13.3644 -3.2150 2.2086
Pd -2.2130 -9.6979 3.3258
Pd 0.4171 -1.6851 4.8144
Pd -8.1029 3.6914 8.5224
Pd -5.4961 -6.1349 0.5050
Pd -1.3802 -3.9489 9.6181
Pd 1.2265 -13.7752 1.6008
Pd -7.2934 -8.3987 5.3087
Pd -4.6634 -0.3859 6.7973
Pd 6.4881 -6.8688 7.9145
Pd 2.7110 -10.4827 5.8888
Zn -1.0674 -4.9775 0.5264
Zn -3.1254 -6.0705 -4.0301
Zn 0.0000 0.0000 0.0000
Zn -4.5069 -0.9002 2.2515
Zn -0.3128 1.0287 9.0917
Zn -8.8575 -2.3148 -0.0429
Zn -2.0566 -10.2122 -1.2200
Zn 0.1043 -0.6564 13.9061
Zn -8.4404 -3.9999 4.7716
Zn 3.0485 -2.7915 9.6396
Zn -9.9249 -7.2923 0.4836
Zn -3.4382 -5.0419 5.0616
Zn -5.7321 3.7558 3.9873
Zn 5.4193 -2.7271 5.1044
Zn 1.5641 -6.0839 5.3516
Zn -6.9806 -9.4273 -3.7830
Zn 2.2939 -8.7977 1.0743
Zn -4.8198 0.1284 11.3432
Zn -2.3694 -9.1835 7.8717
Zn -5.8090 -5.1062 9.5967
Ac -8.5270 3.6060 5.3288
Ac -2.6052 -6.6043 2.5124
Ac -10.1935 1.0833 7.3248
Ac -6.3981 0.7254 3.9055
Ac -4.1314 -7.9826 5.7722
Ac -12.5527 -0.7862 4.6682
Ac -4.2568 -9.1097 0.4825
Ac -5.0791 -11.0936 -5.3838
Ac -5.1920 -10.8317 3.8016
Ac -10.2161 -2.7475 2.7140
Ac -7.6118 -1.6201 6.3856
Ac -14.7011 -5.3386 -0.3035
Ac 0.0144 -10.8900 0.8309
Ac -5.8709 -2.9341 0.5317
Ac -2.8956 -12.5513 -2.8873
Ac 0.8068 -1.6578 8.0134
Ac 0.2513 -2.5711 1.7203
Ac -8.5098 -5.2030 -1.1249
Ac -12.1698 -6.2073 2.1384
Ac -3.1864 -4.3065 -1.4772
Ac -1.7903 -12.8919 3.2518
Ac -6.1366 -5.5087 3.6008
Ac -9.7971 -6.1231 6.3859
Ac -1.1560 -3.0967 12.7181
Ac -0.7398 -4.5750 6.5224
Ac 2.9208 -3.9607 3.7373
Ac -5.7203 -6.9870 -2.5949
Ac 5.2934 -3.8765 7.9848
Ac -5.0861 2.8081 6.8714
Ac -3.6899 -5.7773 11.6003
Ac 1.6334 -4.8808 11.2481
Ac -7.6831 -8.4260 2.1098
Ac -7.1276 -7.5126 8.4028
Ac -3.9808 2.4676 13.0104
Ac -6.8908 0.8063 9.2923
Ac 7.8248 -4.7452 10.4267
Ac -1.0054 -7.1496 9.5915
Ac -1.6844 0.7479 6.3216
Ac 3.3397 -7.3363 7.4091
Ac 0.7354 -8.4637 3.7376
Ac -1.7973 1.0099 15.5070
Ac -2.6196 -0.9740 9.6406
Ac -0.4782 -10.8092 6.2177
Ac 5.6763 -9.2975 5.4550
Ac -2.7449 -2.1012 4.3510
Ac 3.3171 -11.1671 2.7984
Ac -4.2711 -3.4795 7.6108
Ac 1.6506 -13.6898 4.7943
```

***

## Ac3Zn2Pd7 (PBE)

Data for crystalline Ac3Zn2Pd7 at its relaxed geometry.

Calculated values
VASP energy   -4.80 eV/atom
Excess energy over the best structure of this formula in the dataset   16.6 kJ per mole of atoms
Formation energy   -0.536 eV/atom

extended XYZ file:
```
12
Lattice="-2.3494 2.0868 -2.9049 -2.9151 -3.3032 -0.0152 -5.9671 8.1548 10.6843" Properties=species:S:1:pos:R:3 pbc="T T T"
Ac -2.6322 -0.6082 -1.4601
Ac -5.5776 1.9716 2.7754
Ac -5.6540 4.9668 4.9888
Zn -7.6409 3.7644 8.8840
Zn -1.2413 1.0873 1.7850
Pd -5.5507 4.8618 7.9818
Pd -5.8875 2.2286 6.3626
Pd 0.0000 0.0000 0.0000
Pd -3.3315 -0.0102 2.6872
Pd -3.0896 2.7207 1.3012
Pd -8.1420 4.2177 6.4629
Pd -2.9947 2.6231 4.3064
```

***

## Ac5Zn4Pd (PBE)

Data for crystalline Ac5Zn4Pd at its relaxed geometry.

Calculated values
VASP energy   -3.43 eV/atom
Formation energy   -0.345 eV/atom

extended XYZ file:
```
10
Lattice="3.9016 0.0000 0.0000 0.0000 3.9016 0.0000 0.0000 0.0000 19.3755" Properties=species:S:1:pos:R:3 pbc="T T T"
Ac 1.9508 1.9508 1.8253
Ac 1.9508 1.9508 5.7782
Ac 1.9508 1.9508 9.6878
Ac 1.9508 1.9508 13.5974
Ac 1.9508 1.9508 17.5503
Zn 0.0000 0.0000 3.8614
Zn 0.0000 0.0000 7.7218
Zn 0.0000 0.0000 11.6538
Zn 0.0000 0.0000 15.5141
Pd 0.0000 0.0000 0.0000
```

***

## Ac4ZnPd3 (PBE)

Data for crystalline Ac4ZnPd3 at its relaxed geometry.

Calculated values
VASP energy   -4.82 eV/atom
Formation energy   -0.663 eV/atom

extended XYZ file:
```
8
Lattice="-0.9413 2.9646 2.7759 -3.6262 -2.6183 1.5667 7.1007 -5.1209 7.8767" Properties=species:S:1:pos:R:3 pbc="T T T"
Ac 0.3377 -1.7174 5.0792
Ac 4.2757 -5.7002 7.5375
Ac 0.9893 -0.7134 1.0974
Ac 4.0193 -1.7557 6.3686
Zn -1.7840 -0.1872 2.7256
Pd 2.3526 -4.3133 5.4042
Pd 2.9638 -2.1375 3.2877
Pd 6.1137 -3.2662 8.6919
```

***

## AcZrPd2 (PBE)

Data for crystalline AcZrPd2 at its relaxed geometry.

Calculated values
VASP energy   -6.23 eV/atom
Excess energy over the best structure of this formula in the dataset   14.5 kJ per mole of atoms
Formation energy   -0.468 eV/atom

extended XYZ file:
```
4
Lattice="-1.1272 0.0071 -3.2589 4.5808 -1.7145 -1.5881 -1.6236 -4.8483 0.5509" Properties=species:S:1:pos:R:3 pbc="T T T"
Ac 0.9150 -3.2778 -2.1481
Zr -0.5636 0.0036 -1.6295
Pd -0.8118 -2.4241 0.2755
Pd 2.2904 -0.8572 -0.7941
```

***

## AcZrPd2 (PBE)

Data for crystalline AcZrPd2 at its relaxed geometry.

Calculated values
VASP energy   -6.36 eV/atom
Excess energy over the best structure of this formula in the dataset   2.2 kJ per mole of atoms
Formation energy   -0.595 eV/atom

extended XYZ file:
```
4
Lattice="-1.7663 3.0404 -0.2106 -3.0287 -1.7240 0.5123 0.7121 0.9198 7.3056" Properties=species:S:1:pos:R:3 pbc="T T T"
Ac -2.0414 1.1181 3.8037
Zr -2.3975 0.6582 0.1508
Pd 0.5729 0.7400 5.8777
Pd 0.1392 0.1798 1.4280
```

***

## AcZrPd3 (PBE)

Data for crystalline AcZrPd3 at its relaxed geometry.

Calculated values
VASP energy   -6.32 eV/atom
Formation energy   -0.676 eV/atom

extended XYZ file:
```
10
Lattice="-3.7313 -2.1962 -0.6396 0.3291 -1.5476 3.3939 -7.1870 11.1309 3.7070" Properties=species:S:1:pos:R:3 pbc="T T T"
Ac -2.0174 1.0505 0.6747
Ac -8.5719 6.3366 5.7866
Zr -4.8580 4.7089 4.6842
Zr -5.7312 2.6782 1.7771
Pd -6.1102 7.0868 3.8242
Pd -4.4790 0.3002 2.6371
Pd -7.5349 9.1880 4.9206
Pd -3.0543 -1.8010 1.5407
Pd -7.1021 4.7001 2.8320
Pd -3.4871 2.6870 3.6292
```

***

## Ac2ZrPd (PBE)

Data for crystalline Ac2ZrPd at its relaxed geometry.

Calculated values
VASP energy   -5.18 eV/atom
Formation energy   0.306 eV/atom

extended XYZ file:
```
4
Lattice="-1.2912 2.4353 2.3385 -2.7835 -0.8512 2.1433 5.7997 -3.1867 9.3148" Properties=species:S:1:pos:R:3 pbc="T T T"
Ac 4.0205 -2.2634 7.3708
Ac -2.2955 0.6608 6.4257
Zr 0.8625 -0.8013 6.8983
Pd 0.0000 0.0000 0.0000
```